# 1
# PBE La4GeRhI2, optimized geometry
# N(E_F), states/eV/f.u.: 7.23
# VASP energy, eV/atom: -5.3667
data_La4GeRhI2
_chemical_formula_sum 'La4 Ge1 Rh1 I2'
_cell_length_a 7.751
_cell_length_b 4.310
_cell_length_c 8.308
_cell_angle_alpha 90.00
_cell_angle_beta 106.25
_cell_angle_gamma 90.00
_space_group_name_H-M_alt 'P 1 2/m 1'
_space_group_IT_number 10
_space_group_name_Hall '-P 2y'
loop_
_atom_site_label
_atom_site_type_symbol
_atom_site_fract_x
_atom_site_fract_y
_atom_site_fract_z
La1 La 0.221 0.000 0.192
La2 La 0.251 0.500 0.808
Ge1 Ge 0.500 0.000 0.000
Rh1 Rh 0.000 0.500 0.000
I1 I 0.000 0.000 0.500
I2 I 0.500 0.500 0.500

# 2
# PBE La6Ge2RuI3, optimized geometry
# N(E_F), states/eV/f.u.: 7.74
# VASP energy, eV/atom: -5.3796
data_La6Ge2RuI3
_chemical_formula_sum 'La12 Ge4 Ru2 I6'
_cell_length_a 20.168
_cell_length_b 4.367
_cell_length_c 9.550
_cell_angle_alpha 90.00
_cell_angle_beta 107.96
_cell_angle_gamma 90.00
_space_group_name_H-M_alt 'C 1 2/m 1'
_space_group_IT_number 12
_space_group_name_Hall '-C 2y'
loop_
_atom_site_label
_atom_site_type_symbol
_atom_site_fract_x
_atom_site_fract_y
_atom_site_fract_z
La1 La 0.007 0.000 0.211
La2 La 0.143 0.500 0.105
La3 La 0.178 0.500 0.560
Ge1 Ge 0.164 0.000 0.337
Ru1 Ru 0.000 0.500 0.000
I1 I 0.000 0.500 0.500
I2 I 0.173 0.000 0.836

# 3
# PBE La8GeRu3I4, optimized geometry
# N(E_F), states/eV/f.u.: 10.03
# VASP energy, eV/atom: -5.7336
data_La8GeRu3I4
_chemical_formula_sum 'La24 Ge3 Ru9 I12'
_cell_length_a 8.6118
_cell_length_b 8.6118
_cell_length_c 24.4747
_cell_angle_alpha 90.00
_cell_angle_beta 90.00
_cell_angle_gamma 120.00
_space_group_name_H-M_alt 'R -3 m'
_space_group_IT_number 166
_space_group_name_Hall '-R 3 2"'
loop_
_atom_site_label
_atom_site_type_symbol
_atom_site_fract_x
_atom_site_fract_y
_atom_site_fract_z
La1 La 0.0000 0.0000 0.2323
La2 La 0.0170 0.5085 0.7727
Ge1 Ge 0.0000 0.0000 0.5000
Ru1 Ru 0.0000 0.5000 0.5000
I1 I 0.0000 0.0000 0.0000
I2 I 0.0000 0.5000 0.0000